Entry 1:
A plane-wave DFT calculation with GGA-PBE was carried out for Sm2ErHg after structural relaxation.

abc: 5.1738 5.1738 8.8732
angles: 90.00 90.00 90.00
Atoms (fractional coordinates):
Sm1 0.2500 0.2500 0.2210
Sm2 0.2500 0.7500 0.5000
Sm3 0.7500 0.2500 0.5000
Sm4 0.7500 0.7500 0.7790
Er1 0.2500 0.2500 0.7812
Er2 0.7500 0.7500 0.2188
Hg1 0.2500 0.7500 0.0000
Hg2 0.7500 0.2500 0.0000

**Distance to the lowest polymorph of the same formula**: 0.0 meV per atom
**Energy relative to the elements**: -0.23 eV per atom
**Crystal system**: tetragonal
**SG**: P4/nmm



Entry 2:
A plane-wave DFT calculation with GGA-PBE was carried out for Sm2Er3Hg4 after structural relaxation.

abc: 9.5598 9.5598 8.0972
angles: 90.00 90.00 137.35
Atoms (fractional coordinates):
Sm1 0.0957 0.9043 0.9098
Sm2 0.4043 0.5957 0.4098
Sm3 0.5957 0.4043 0.5902
Sm4 0.9043 0.0957 0.0902
Er1 0.0000 0.0000 0.5000
Er2 0.0116 0.4884 0.7500
Er3 0.4884 0.0116 0.2500
Er4 0.5000 0.5000 0.0000
Er5 0.5116 0.9884 0.7500
Er6 0.9884 0.5116 0.2500
Hg1 0.1680 0.8320 0.5299
Hg2 0.1843 0.3157 0.7500
Hg3 0.3157 0.1843 0.2500
Hg4 0.3320 0.6680 0.0299
Hg5 0.6680 0.3320 0.9701
Hg6 0.6843 0.8157 0.7500
Hg7 0.8157 0.6843 0.2500
Hg8 0.8320 0.1680 0.4701

**Energy relative to the elements**: -0.35 eV per atom
**Crystal system**: orthorhombic
**SG**: Cmce



Entry 3:
A plane-wave DFT calculation with GGA-PBE was carried out for SmEr2Hg4 after structural relaxation.

abc: 6.3953 6.3953 5.1278
angles: 90.00 90.00 111.66
Atoms (fractional coordinates):
Sm1 0.0000 0.0000 0.0000
Er1 0.2552 0.7448 0.5000
Er2 0.7448 0.2552 0.5000
Hg1 0.0000 0.5000 0.0000
Hg2 0.2715 0.2715 0.5000
Hg3 0.5000 0.0000 0.0000
Hg4 0.7285 0.7285 0.5000

**Distance to the lowest polymorph of the same formula**: 0.0 meV per atom
**Energy relative to the elements**: -0.37 eV per atom
**Crystal system**: orthorhombic
**SG**: Cmmm



Question: What is the energy relative to the elements in the first record?
Answer: -0.23 eV per atom